Entry from Alexandria via LeMat-Bulk: ErAs2Pb after structural relaxation (PBE).

Properties
Crystal system: trigonal
Theoretical density, Mg/m³: 8.228
Energy of formation from the pure elements, meV/atom: -610

a = 4.1523 Å, b = 4.1523 Å, c = 21.2579 Å
α = 90.00°, β = 90.00°, γ = 120.00°
Space group R-3m (No. 166, hexagonal axes)
Inequivalent atoms, fractional coordinates:
Er 0.0000 0.0000 0.0000 (multiplicity 3)
As 0.0000 0.0000 0.2581 (multiplicity 6)
Pb 0.0000 0.0000 0.5000 (multiplicity 3)